i:
# PBE Al2InSi, optimized geometry
# Density (g/cm3): 4.30
data_Al2InSi
_space_group_name_H-M_alt 'F m -3 m'
_space_group_IT_number 225
_space_group_name_Hall '-F 4 2 3'
_cell_length_a 6.7272
_cell_length_b 6.7272
_cell_length_c 6.7272
_cell_angle_alpha 90.00
_cell_angle_beta 90.00
_cell_angle_gamma 90.00
loop_
_atom_site_label
_atom_site_type_symbol
_atom_site_fract_x
_atom_site_fract_y
_atom_site_fract_z
Al1 Al 0.2500 0.2500 0.2500
In1 In 0.0000 0.0000 0.0000
Si1 Si 0.0000 0.0000 0.5000


ii:
# PBE Al2InSi, optimized geometry
# Density (g/cm3): 4.35
data_Al2InSi
_space_group_name_H-M_alt 'P m m m'
_space_group_IT_number 47
_cell_length_a 4.1379
_cell_length_b 4.1589
_cell_length_c 4.3697
_cell_angle_alpha 90.00
_cell_angle_beta 90.00
_cell_angle_gamma 90.00
loop_
_space_group_symop_operation_xyz
'x,y,z'
'-x,-y,-z'
'-x,-y,z'
'x,y,-z'
'x,-y,-z'
'-x,y,z'
'-x,y,-z'
'x,-y,z'
loop_
_atom_site_label
_atom_site_type_symbol
_atom_site_fract_x
_atom_site_fract_y
_atom_site_fract_z
Al1 Al 0.0000 0.0000 0.0000
Al2 Al 0.0000 0.5000 0.5000
In1 In 0.5000 0.0000 0.5000
Si1 Si 0.5000 0.5000 0.0000


Relative energies in kJ/mol of atoms: i 4.0; ii 0.0